Arrangement 1

Density functional theory data (PBE) for an optimized crystal structure of CuOs3Br.

Results
- total magnetic moment (μB per formula unit) = 4.07
- Fermi-level density of states (states/eV/f.u.) = 7.648

abc: 4.5734 4.5734 4.5734
angles: 90.00 90.00 90.00
Space group Pm-3m (No. 221)
Inequivalent atoms, fractional coordinates:
Cu (0.0000, 0.0000, 0.0000) (multiplicity 1)
Os (0.0000, 0.0000, 0.5000) (multiplicity 3)
Br (0.5000, 0.5000, 0.5000) (multiplicity 1)

Arrangement 2

Density functional theory data (PBE) for an optimized crystal structure of CuOs3Br.

Results
- total magnetic moment (μB per formula unit) = 0.92
- Fermi-level density of states (states/eV/f.u.) = 6.885

abc: 4.5313 4.5313 4.5313
angles: 90.00 90.00 90.00
Space group Pm-3m (No. 221)
Inequivalent atoms, fractional coordinates:
Cu (0.0000, 0.0000, 0.0000) (multiplicity 1)
Os (0.0000, 0.5000, 0.5000) (multiplicity 3)
Br (0.5000, 0.5000, 0.5000) (multiplicity 1)

Computed relative energies in units of kJ/mol of atoms: arrangement 1 1.8; arrangement 2 0.0

Arrangement 1

Density functional theory data (PBE) for an optimized crystal structure of CuP2Br.

Results
- total magnetic moment (μB per formula unit) = 0.00
- Fermi-level density of states (states/eV/f.u.) = 3.414

abc: 2.4307 7.0559 11.9675
angles: 90.00 90.00 90.00
Space group Immm (No. 71)
Inequivalent atoms, fractional coordinates:
Cu (0.0000, 0.0000, 0.0000) (multiplicity 2)
P (0.0000, 0.5000, 0.3336) (multiplicity 4)
Br (0.0000, 0.0000, 0.5000) (multiplicity 2)

Arrangement 2

Density functional theory data (PBE) for an optimized crystal structure of CuP2Br.

Results
- total magnetic moment (μB per formula unit) = 0.00
- Fermi-level density of states (states/eV/f.u.) = 1.834

abc: 3.7266 3.7266 19.0286
angles: 90.00 90.00 120.00
Space group R-3m (No. 166, hexagonal axes)
Inequivalent atoms, fractional coordinates:
Cu (0.0000, 0.0000, 0.0000) (multiplicity 3)
P (0.0000, 0.0000, 0.2845) (multiplicity 6)
Br (0.0000, 0.0000, 0.5000) (multiplicity 3)

Computed relative energies in units of kJ/mol of atoms: arrangement 1 22.3; arrangement 2 0.0

Arrangement 1

Density functional theory data (PBE) for an optimized crystal structure of CuP2Br.

Results
- total magnetic moment (μB per formula unit) = 0.00
- Fermi-level density of states (states/eV/f.u.) = 1.005

abc: 4.2126 3.2996 6.8817
angles: 90.00 105.19 90.00
Space group Pm (No. 6)
Inequivalent atoms, fractional coordinates:
Cu (0.0000, 0.0000, 0.0000) (multiplicity 1)
P (0.3623, 0.5000, 0.2808) (multiplicity 1)
P (0.5659, 0.0000, 0.1457) (multiplicity 1)
Br (0.8857, 0.5000, 0.7223) (multiplicity 1)

Arrangement 2

Density functional theory data (PBE) for an optimized crystal structure of CuP2Br.

Results
- total magnetic moment (μB per formula unit) = 0.00
- Fermi-level density of states (states/eV/f.u.) = 3.002

abc: 4.5587 4.5587 6.4659
angles: 90.00 90.00 90.00
Space group I-4m2 (No. 119)
Inequivalent atoms, fractional coordinates:
Cu (0.0000, 0.0000, 0.0000) (multiplicity 2)
P (0.0000, 0.0000, 0.5000) (multiplicity 2)
P (0.0000, 0.5000, 0.7500) (multiplicity 2)
Br (0.0000, 0.5000, 0.2500) (multiplicity 2)

Arrangement 3

Density functional theory data (PBE) for an optimized crystal structure of CuP2Br.

Results
- total magnetic moment (μB per formula unit) = 0.00
- Fermi-level density of states (states/eV/f.u.) = 1.417

abc: 5.0890 5.0890 5.3274
angles: 90.00 90.00 90.00
Space group I4/mmm (No. 139)
Inequivalent atoms, fractional coordinates:
Cu (0.0000, 0.0000, 0.0000) (multiplicity 2)
P (0.0000, 0.5000, 0.0000) (multiplicity 4)
Br (0.0000, 0.0000, 0.5000) (multiplicity 2)

Computed relative energies in units of kJ/mol of atoms: arrangement 1 0.0; arrangement 2 84.3; arrangement 3 50.0

Arrangement 1

Density functional theory data (PBE) for an optimized crystal structure of CuPBr.

Results
- total magnetic moment (μB per formula unit) = 0.00
- Fermi-level density of states (states/eV/f.u.) = 1.279

abc: 3.3321 3.5233 10.7608
angles: 90.00 90.00 90.00
Space group Imm2 (No. 44)
Inequivalent atoms, fractional coordinates:
Cu (0.0000, 0.0000, 0.0000) (multiplicity 2)
P (0.0000, 0.0000, 0.4755) (multiplicity 2)
Br (0.0000, 0.0000, 0.2618) (multiplicity 2)

Arrangement 2

Density functional theory data (PBE) for an optimized crystal structure of CuPBr.

Results
- total magnetic moment (μB per formula unit) = 0.00
- Fermi-level density of states (states/eV/f.u.) = 1.570

abc: 3.5010 6.2611 11.8058
angles: 90.00 90.00 90.00
Space group Fmm2 (No. 42)
Inequivalent atoms, fractional coordinates:
Cu (0.0000, 0.0000, 0.0000) (multiplicity 4)
P (0.0000, 0.0000, 0.6216) (multiplicity 4)
Br (0.0000, 0.0000, 0.3592) (multiplicity 4)

Arrangement 3

Density functional theory data (PBE) for an optimized crystal structure of CuPBr.

Results
- total magnetic moment (μB per formula unit) = 0.00
- Fermi-level density of states (states/eV/f.u.) = 3.522

abc: 6.1782 6.1782 6.1782
angles: 90.00 90.00 90.00
Space group F-43m (No. 216)
Inequivalent atoms, fractional coordinates:
Cu (0.0000, 0.0000, 0.0000) (multiplicity 4)
P (0.2500, 0.2500, 0.2500) (multiplicity 4)
Br (0.2500, 0.2500, 0.7500) (multiplicity 4)

Computed relative energies in units of kJ/mol of atoms: arrangement 1 0.0; arrangement 2 21.3; arrangement 3 57.0

Arrangement 1

Density functional theory data (PBE) for an optimized crystal structure of PaCu2Br8.

Results
- total magnetic moment (μB per formula unit) = 1.07
- Fermi-level density of states (states/eV/f.u.) = 5.918

abc: 13.6312 8.4732 7.4032
angles: 90.00 90.43 90.00
Space group C2/m (No. 12)
Inequivalent atoms, fractional coordinates:
Pa (0.0000, 0.0000, 0.0000) (multiplicity 2)
Cu (0.2109, 0.0000, 0.2354) (multiplicity 4)
Br (0.1157, 0.0000, 0.7103) (multiplicity 4)
Br (0.1178, 0.2290, 0.1591) (multiplicity 8)
Br (0.1368, 0.5000, 0.6473) (multiplicity 4)

Arrangement 2

Density functional theory data (PBE) for an optimized crystal structure of PaCu2Br8.

Results
- total magnetic moment (μB per formula unit) = 1.10
- Fermi-level density of states (states/eV/f.u.) = 7.248

abc: 8.1096 10.2632 10.6141
angles: 78.17 68.17 67.08
Space group P-1 (No. 2)
Inequivalent atoms, fractional coordinates:
Pa (0.1280, 0.2492, 0.2498) (multiplicity 2)
Cu (0.1534, 0.5435, 0.0972) (multiplicity 2)
Cu (0.2922, 0.9535, 0.4025) (multiplicity 2)
Br (0.0979, 0.7352, 0.9354) (multiplicity 2)
Br (0.1408, 0.4745, 0.7264) (multiplicity 2)
Br (0.1425, 0.1857, 0.5143) (multiplicity 2)
Br (0.1515, 0.9738, 0.2256) (multiplicity 2)
Br (0.2651, 0.7634, 0.5652) (multiplicity 2)
Br (0.3049, 0.4420, 0.2713) (multiplicity 2)
Br (0.3397, 0.3116, 0.9856) (multiplicity 2)
Br (0.4854, 0.9458, 0.7707) (multiplicity 2)

Computed relative energies in units of kJ/mol of atoms: arrangement 1 0.0; arrangement 2 2.8

Arrangement 1

Density functional theory data (PBE) for an optimized crystal structure of CuPb2Br2.

Results
- total magnetic moment (μB per formula unit) = 0.00
- Fermi-level density of states (states/eV/f.u.) = 4.026

abc: 4.7947 4.7947 14.2049
angles: 90.00 90.00 90.00
Space group I4/mmm (No. 139)
Inequivalent atoms, fractional coordinates:
Cu (0.0000, 0.0000, 0.0000) (multiplicity 2)
Pb (0.0000, 0.0000, 0.3877) (multiplicity 4)
Br (0.0000, 0.5000, 0.2500) (multiplicity 4)

Arrangement 2

Density functional theory data (PBE) for an optimized crystal structure of CuPb2Br2.

Results
- total magnetic moment (μB per formula unit) = 0.00
- Fermi-level density of states (states/eV/f.u.) = 2.251

abc: 7.5818 7.5818 5.1919
angles: 90.00 90.00 90.00
Space group P4/mbm (No. 127)
Inequivalent atoms, fractional coordinates:
Cu (0.0000, 0.0000, 0.0000) (multiplicity 2)
Pb (0.1937, 0.3063, 0.0000) (multiplicity 4)
Br (0.1687, 0.6687, 0.5000) (multiplicity 4)

Computed relative energies in units of kJ/mol of atoms: arrangement 1 35.2; arrangement 2 0.0

Arrangement 1

Density functional theory data (PBE) for an optimized crystal structure of CuPb2Br.

Results
- total magnetic moment (μB per formula unit) = 0.00
- Fermi-level density of states (states/eV/f.u.) = 2.696

abc: 3.6813 3.6813 27.9792
angles: 90.00 90.00 120.00
Space group R3m (No. 160, hexagonal axes)
Inequivalent atoms, fractional coordinates:
Cu (0.0000, 0.0000, 0.0000) (multiplicity 3)
Pb (0.0000, 0.0000, 0.5002) (multiplicity 3)
Pb (0.0000, 0.0000, 0.7353) (multiplicity 3)
Br (0.0000, 0.0000, 0.2845) (multiplicity 3)

Arrangement 2

Density functional theory data (PBE) for an optimized crystal structure of CuPb2Br.

Results
- total magnetic moment (μB per formula unit) = 0.00
- Fermi-level density of states (states/eV/f.u.) = 2.301

abc: 4.9010 4.9010 8.7457
angles: 90.00 90.00 90.00
Space group I4/mmm (No. 139)
Inequivalent atoms, fractional coordinates:
Cu (0.0000, 0.0000, 0.0000) (multiplicity 2)
Pb (0.0000, 0.5000, 0.2500) (multiplicity 4)
Br (0.0000, 0.0000, 0.5000) (multiplicity 2)

Computed relative energies in units of kJ/mol of atoms: arrangement 1 0.0; arrangement 2 24.1

Arrangement 1

Density functional theory data (PBE) for an optimized crystal structure of Cu2PbBr.

Results
- total magnetic moment (μB per formula unit) = 0.00
- Fermi-level density of states (states/eV/f.u.) = 1.894

abc: 3.4077 3.4077 7.0777
angles: 90.00 90.00 90.00
Space group P4/mmm (No. 123)
Inequivalent atoms, fractional coordinates:
Cu (0.0000, 0.0000, 0.2460) (multiplicity 2)
Pb (0.5000, 0.5000, 0.5000) (multiplicity 1)
Br (0.5000, 0.5000, 0.0000) (multiplicity 1)

Arrangement 2

Density functional theory data (PBE) for an optimized crystal structure of Cu2PbBr.

Results
- total magnetic moment (μB per formula unit) = 0.00
- Fermi-level density of states (states/eV/f.u.) = 1.484

abc: 3.5312 3.8846 6.9880
angles: 90.00 90.47 90.00
Space group Pm (No. 6)
Inequivalent atoms, fractional coordinates:
Cu (0.0000, 0.0000, 0.0000) (multiplicity 1)
Cu (0.0119, 0.5000, 0.2074) (multiplicity 1)
Pb (0.4991, 0.5000, 0.8357) (multiplicity 1)
Br (0.0117, 0.0000, 0.4175) (multiplicity 1)

Computed relative energies in units of kJ/mol of atoms: arrangement 1 23.8; arrangement 2 0.0

Arrangement 1

Density functional theory data (PBE) for an optimized crystal structure of CuPb3Br.

Results
- total magnetic moment (μB per formula unit) = 0.00
- Fermi-level density of states (states/eV/f.u.) = 4.326

abc: 5.7248 5.7248 5.7248
angles: 90.00 90.00 90.00
Space group Pm-3m (No. 221)
Inequivalent atoms, fractional coordinates:
Cu (0.0000, 0.0000, 0.0000) (multiplicity 1)
Pb (0.0000, 0.5000, 0.5000) (multiplicity 3)
Br (0.5000, 0.5000, 0.5000) (multiplicity 1)

Arrangement 2

Density functional theory data (PBE) for an optimized crystal structure of CuPb3Br.

Results
- total magnetic moment (μB per formula unit) = 0.00
- Fermi-level density of states (states/eV/f.u.) = 9.331

abc: 5.3652 5.3652 5.3652
angles: 90.00 90.00 90.00
Space group Pm-3m (No. 221)
Inequivalent atoms, fractional coordinates:
Cu (0.0000, 0.0000, 0.0000) (multiplicity 1)
Pb (0.0000, 0.0000, 0.5000) (multiplicity 3)
Br (0.5000, 0.5000, 0.5000) (multiplicity 1)

Computed relative energies in units of kJ/mol of atoms: arrangement 1 64.9; arrangement 2 0.0

Arrangement 1

Density functional theory data (PBE) for an optimized crystal structure of Cu2PbBr4.

Results
- total magnetic moment (μB per formula unit) = 0.00

abc: 7.9783 7.9783 6.5922
angles: 90.00 90.00 90.00
Space group I4/m (No. 87)
Inequivalent atoms, fractional coordinates:
Cu (0.0000, 0.5000, 0.2500) (multiplicity 4)
Pb (0.0000, 0.0000, 0.0000) (multiplicity 2)
Br (0.1614, 0.3321, 0.5000) (multiplicity 8)

Arrangement 2

Density functional theory data (PBE) for an optimized crystal structure of Cu2PbBr4.

Results
- total magnetic moment (μB per formula unit) = 0.00
- Fermi-level density of states (states/eV/f.u.) = 0.000

abc: 4.1754 7.3460 7.5225
angles: 99.35 106.03 90.02
Space group P-1 (No. 2)
Inequivalent atoms, fractional coordinates:
Cu (0.0978, 0.0429, 0.1913) (multiplicity 2)
Pb (0.5000, 0.5000, 0.0000) (multiplicity 1)
Br (0.1286, 0.3738, 0.2582) (multiplicity 2)
Br (0.3798, 0.1088, 0.7628) (multiplicity 2)

Computed relative energies in units of kJ/mol of atoms: arrangement 1 8.7; arrangement 2 0.0

Arrangement 1

Density functional theory data (PBE) for an optimized crystal structure of CuPb2Br6.

Results
- total magnetic moment (μB per formula unit) = 1.06
- Fermi-level density of states (states/eV/f.u.) = 3.067

abc: 13.7730 4.2830 12.1283
angles: 90.00 113.77 90.00
Space group C2/m (No. 12)
Inequivalent atoms, fractional coordinates:
Cu (0.0000, 0.0000, 0.0000) (multiplicity 2)
Pb (0.1538, 0.5000, 0.3180) (multiplicity 4)
Br (0.0200, 0.0000, 0.8107) (multiplicity 4)
Br (0.1463, 0.5000, 0.0768) (multiplicity 4)
Br (0.1785, 0.5000, 0.6027) (multiplicity 4)

Arrangement 2

Density functional theory data (PBE) for an optimized crystal structure of CuPb2Br6.

Results
- total magnetic moment (μB per formula unit) = 0.01
- Fermi-level density of states (states/eV/f.u.) = 6.599

abc: 6.8402 6.8402 12.9947
angles: 90.00 90.00 90.00
Space group P4_2/mnm (No. 136)
Inequivalent atoms, fractional coordinates:
Cu (0.0000, 0.0000, 0.0000) (multiplicity 2)
Pb (0.0000, 0.0000, 0.3360) (multiplicity 4)
Br (0.1845, 0.1845, 0.1422) (multiplicity 8)
Br (0.2133, 0.2133, 0.5000) (multiplicity 4)

Computed relative energies in units of kJ/mol of atoms: arrangement 1 0.0; arrangement 2 1.8

Arrangement 1

Density functional theory data (PBE) for an optimized crystal structure of CuPdBr2.

Results
- total magnetic moment (μB per formula unit) = 0.00
- Fermi-level density of states (states/eV/f.u.) = 5.584

abc: 5.9249 5.9249 11.3086
angles: 90.00 90.00 90.00
Space group I-42d (No. 122)
Inequivalent atoms, fractional coordinates:
Cu (0.0000, 0.0000, 0.0000) (multiplicity 4)
Pd (0.0000, 0.0000, 0.5000) (multiplicity 4)
Br (0.2276, 0.2500, 0.1250) (multiplicity 8)

Arrangement 2

Density functional theory data (PBE) for an optimized crystal structure of CuPdBr2.

Results
- total magnetic moment (μB per formula unit) = 0.89
- Fermi-level density of states (states/eV/f.u.) = 3.788

abc: 4.2205 4.2205 21.5949
angles: 90.00 90.00 120.00
Space group R-3m (No. 166, hexagonal axes)
Inequivalent atoms, fractional coordinates:
Cu (0.0000, 0.0000, 0.0000) (multiplicity 3)
Pd (0.0000, 0.0000, 0.5000) (multiplicity 3)
Br (0.0000, 0.0000, 0.1043) (multiplicity 6)

Arrangement 3

Density functional theory data (PBE) for an optimized crystal structure of CuPdBr2.

Results
- total magnetic moment (μB per formula unit) = 1.00
- Fermi-level density of states (states/eV/f.u.) = 2.578

abc: 6.7897 6.7897 6.7897
angles: 90.00 90.00 90.00
Space group Fm-3m (No. 225)
Inequivalent atoms, fractional coordinates:
Cu (0.0000, 0.0000, 0.0000) (multiplicity 4)
Pd (0.0000, 0.0000, 0.5000) (multiplicity 4)
Br (0.2500, 0.2500, 0.2500) (multiplicity 8)

Computed relative energies in units of kJ/mol of atoms: arrangement 1 0.0; arrangement 2 6.0; arrangement 3 32.9